a) SeNCl3 | GGA-PBE | optimized geometry

Output
**ρ**: 1.8 Mg/m³
**Total moment**: 0.2003 μB/atom
**Space-group type**: P2_1/c

```
20
Lattice="7.296 0.000 0.000 0.000 8.117 0.000 -0.662 0.000 12.460" Properties=species:S:1:pos:R:3 pbc="T T T"
Se 1.611 0.835 2.880
Se 1.280 3.223 9.110
Se 5.354 4.894 3.350
Se 5.023 7.281 9.580
N 3.009 0.100 5.777
N 2.679 3.959 12.007
N 3.956 4.158 0.453
N 3.625 8.017 6.683
Cl 0.016 5.342 2.157
Cl -0.315 6.833 8.387
Cl 0.878 1.466 0.948
Cl 0.547 2.592 7.178
Cl 3.039 4.533 8.316
Cl 3.370 7.642 2.086
Cl 3.264 0.475 10.374
Cl 3.595 3.584 4.144
Cl 6.087 5.525 5.282
Cl 5.756 6.650 11.512
Cl 6.949 1.284 4.073
Cl 6.618 2.775 10.303
```

---

b) SeNCl3 | GGA-PBE | optimized geometry

Output
**ρ**: 3.7 Mg/m³
**Total moment**: 0.0000 μB/atom
**Space-group type**: Pm-3m

```
5
Lattice="4.462 0.000 0.000 0.000 4.462 0.000 0.000 0.000 4.462" Properties=species:S:1:pos:R:3 pbc="T T T"
Se 0.000 0.000 0.000
N 2.231 2.231 2.231
Cl 0.000 2.231 2.231
Cl 2.231 0.000 2.231
Cl 2.231 2.231 0.000
```

---

Order of stability, best first: a), b)

---

a) SnSeN2Cl | GGA-PBE | optimized geometry

Output
**ρ**: 4.3 Mg/m³
**Total moment**: 0.5552 μB/atom
**Space-group type**: P4/mmm

```
5
Lattice="4.133 0.000 0.000 0.000 4.133 0.000 0.000 0.000 5.902" Properties=species:S:1:pos:R:3 pbc="T T T"
Sn 0.000 0.000 0.000
Se 0.000 0.000 2.951
N 0.000 2.066 0.000
N 2.066 0.000 0.000
Cl 2.066 2.066 2.951
```

---

b) SnSeN2Cl | GGA-PBE | optimized geometry

Output
**ρ**: 4.9 Mg/m³
**Total moment**: 0.4643 μB/atom
**Space-group type**: P4/mmm

```
5
Lattice="4.207 0.000 0.000 0.000 4.207 0.000 0.000 0.000 5.044" Properties=species:S:1:pos:R:3 pbc="T T T"
Sn 0.000 0.000 0.000
Se 2.103 2.103 0.000
N 0.000 2.103 2.522
N 2.103 0.000 2.522
Cl 2.103 2.103 2.522
```

---

Order of stability, best first: a), b)

---

a) TaSe2NCl | GGA-PBE | optimized geometry

Output
**ρ**: 7.5 Mg/m³
**Total moment**: 0.0000 μB/atom
**Space-group type**: P4/mmm

```
5
Lattice="5.054 0.000 0.000 0.000 5.054 0.000 0.000 0.000 3.351" Properties=species:S:1:pos:R:3 pbc="T T T"
Ta 0.000 0.000 0.000
Se 0.000 2.527 1.675
Se 2.527 0.000 1.675
N 2.527 2.527 0.000
Cl 2.527 2.527 1.675
```

---

b) TaSe2NCl | GGA-PBE | optimized geometry

Output
**ρ**: 6.2 Mg/m³
**Total moment**: 0.1825 μB/atom
**Space-group type**: P4/mmm

```
5
Lattice="5.136 0.000 0.000 0.000 5.136 0.000 0.000 0.000 3.974" Properties=species:S:1:pos:R:3 pbc="T T T"
Ta 0.000 0.000 0.000
Se 0.000 2.568 0.000
Se 2.568 0.000 0.000
N 0.000 0.000 1.987
Cl 2.568 2.568 1.987
```

---

Order of stability, best first: b), a)

---

a) TcSe2NCl | GGA-PBE | optimized geometry

Output
**ρ**: 5.3 Mg/m³
**Total moment**: 0.0000 μB/atom
**Space-group type**: P4/mmm

```
5
Lattice="5.040 0.000 0.000 0.000 5.040 0.000 0.000 0.000 3.738" Properties=species:S:1:pos:R:3 pbc="T T T"
Tc 0.000 0.000 0.000
Se 0.000 2.520 0.000
Se 2.520 0.000 0.000
N 0.000 0.000 1.869
Cl 2.520 2.520 1.869
```

---

b) TcSe2NCl | GGA-PBE | optimized geometry

Output
**ρ**: 5.8 Mg/m³
**Total moment**: 0.5626 μB/atom
**Space-group type**: P4/mmm

```
5
Lattice="5.112 0.000 0.000 0.000 5.112 0.000 0.000 0.000 3.355" Properties=species:S:1:pos:R:3 pbc="T T T"
Tc 0.000 0.000 0.000
Se 0.000 2.556 1.678
Se 2.556 0.000 1.678
N 2.556 2.556 0.000
Cl 2.556 2.556 1.678
```

---

Order of stability, best first: a), b)

---

a) WSeN2Cl | GGA-PBE | optimized geometry

Output
**ρ**: 8.0 Mg/m³
**Total moment**: 0.0000 μB/atom
**Space-group type**: P4/mmm

```
5
Lattice="3.812 0.000 0.000 0.000 3.812 0.000 0.000 0.000 4.662" Properties=species:S:1:pos:R:3 pbc="T T T"
W 0.000 0.000 0.000
Se 1.906 1.906 0.000
N 0.000 1.906 2.331
N 1.906 0.000 2.331
Cl 1.906 1.906 2.331
```

---

b) WSeN2Cl | GGA-PBE | optimized geometry

Output
**ρ**: 6.6 Mg/m³
**Total moment**: 0.0000 μB/atom
**Space-group type**: P4/mmm

```
5
Lattice="3.899 0.000 0.000 0.000 3.899 0.000 0.000 0.000 5.413" Properties=species:S:1:pos:R:3 pbc="T T T"
W 0.000 0.000 0.000
Se 0.000 0.000 2.706
N 0.000 1.950 0.000
N 1.950 0.000 0.000
Cl 1.950 1.950 2.706
```

---

Order of stability, best first: b), a)

---

a) WSe2NCl | GGA-PBE | optimized geometry

Output
**ρ**: 7.8 Mg/m³
**Total moment**: 0.2328 μB/atom
**Space-group type**: P4/mmm

```
5
Lattice="5.021 0.000 0.000 0.000 5.021 0.000 0.000 0.000 3.301" Properties=species:S:1:pos:R:3 pbc="T T T"
W 0.000 0.000 0.000
Se 0.000 2.510 1.651
Se 2.510 0.000 1.651
N 2.510 2.510 0.000
Cl 2.510 2.510 1.651
```

---

b) WSe2NCl | GGA-PBE | optimized geometry

Output
**ρ**: 6.6 Mg/m³
**Total moment**: 0.1787 μB/atom
**Space-group type**: P4/mmm

```
5
Lattice="5.041 0.000 0.000 0.000 5.041 0.000 0.000 0.000 3.867" Properties=species:S:1:pos:R:3 pbc="T T T"
W 0.000 0.000 0.000
Se 0.000 2.521 0.000
Se 2.521 0.000 0.000
N 0.000 0.000 1.933
Cl 2.521 2.521 1.933
```

---

Order of stability, best first: b), a)

---

a) ZnSe2NCl | GGA-PBE | optimized geometry

Output
**ρ**: 4.6 Mg/m³
**Total moment**: 0.0490 μB/atom
**Space-group type**: P4/mmm

```
5
Lattice="5.216 0.000 0.000 0.000 5.216 0.000 0.000 0.000 3.651" Properties=species:S:1:pos:R:3 pbc="T T T"
Zn 0.000 0.000 0.000
Se 0.000 2.608 0.000
Se 2.608 0.000 0.000
N 0.000 0.000 1.826
Cl 2.608 2.608 1.826
```

---

b) ZnSe2NCl | GGA-PBE | optimized geometry

Output
**ρ**: 4.7 Mg/m³
**Total moment**: 0.0000 μB/atom
**Space-group type**: P4/mmm

```
5
Lattice="5.363 0.000 0.000 0.000 5.363 0.000 0.000 0.000 3.383" Properties=species:S:1:pos:R:3 pbc="T T T"
Zn 0.000 0.000 0.000
Se 0.000 2.681 1.692
Se 2.681 0.000 1.692
N 2.681 2.681 0.000
Cl 2.681 2.681 1.692
```

---

Order of stability, best first: a), b)

---

a) ZrSe2NCl | GGA-PBE | optimized geometry

Output
**ρ**: 5.5 Mg/m³
**Total moment**: 0.0009 μB/atom
**Space-group type**: P4/mmm

```
5
Lattice="4.852 0.000 0.000 0.000 4.852 0.000 0.000 0.000 3.817" Properties=species:S:1:pos:R:3 pbc="T T T"
Zr 0.000 0.000 0.000
Se 0.000 2.426 1.908
Se 2.426 0.000 1.908
N 2.426 2.426 0.000
Cl 2.426 2.426 1.908
```

---

b) ZrSe2NCl | GGA-PBE | optimized geometry

Output
**ρ**: 4.2 Mg/m³
**Total moment**: 0.3698 μB/atom
**Space-group type**: P4/mmm

```
5
Lattice="5.318 0.000 0.000 0.000 5.318 0.000 0.000 0.000 4.218" Properties=species:S:1:pos:R:3 pbc="T T T"
Zr 0.000 0.000 0.000
Se 0.000 2.659 0.000
Se 2.659 0.000 0.000
N 0.000 0.000 2.109
Cl 2.659 2.659 2.109
```

---

Order of stability, best first: b), a)

---

a) ZrSeN2Cl | GGA-PBE | optimized geometry

Output
**ρ**: 5.3 Mg/m³
**Total moment**: 0.0000 μB/atom
**Space-group type**: P4/mmm

```
5
Lattice="3.990 0.000 0.000 0.000 3.990 0.000 0.000 0.000 4.630" Properties=species:S:1:pos:R:3 pbc="T T T"
Zr 0.000 0.000 0.000
Se 1.995 1.995 0.000
N 0.000 1.995 2.315
N 1.995 0.000 2.315
Cl 1.995 1.995 2.315
```

---

b) ZrSeN2Cl | GGA-PBE | optimized geometry

Output
**ρ**: 3.9 Mg/m³
**Total moment**: 0.0000 μB/atom
**Space-group type**: P4/mmm

```
5
Lattice="4.110 0.000 0.000 0.000 4.110 0.000 0.000 0.000 5.933" Properties=species:S:1:pos:R:3 pbc="T T T"
Zr 0.000 0.000 0.000
Se 0.000 0.000 2.967
N 0.000 2.055 0.000
N 2.055 0.000 0.000
Cl 2.055 2.055 2.967
```

---

Order of stability, best first: b), a)

---

a) SiN2Cl | GGA-PBE | optimized geometry

Output
**ρ**: 3.6 Mg/m³
**Total moment**: 0.0000 μB/atom
**Space-group type**: Fm-3m

```
4
Lattice="0.000 2.767 2.767 2.767 0.000 2.767 2.767 2.767 0.000" Properties=species:S:1:pos:R:3 pbc="T T T"
Si 0.000 0.000 0.000
N 1.384 1.384 1.384
N 4.151 4.151 4.151
Cl 2.767 2.767 2.767
```

---

b) SiN2Cl | GGA-PBE | optimized geometry

Output
**ρ**: 3.6 Mg/m³
**Total moment**: 0.0000 μB/atom
**Space-group type**: R-3m

```
4
Lattice="1.453 0.839 5.795 -1.453 0.839 5.795 0.000 -1.678 5.795" Properties=species:S:1:pos:R:3 pbc="T T T"
Si 0.000 0.000 0.000
N 0.000 0.000 6.733
N 0.000 0.000 10.652
Cl 0.000 0.000 8.692
```

---

Order of stability, best first: b), a)

---

a) SiN2Cl | GGA-PBE | optimized geometry

Output
**ρ**: 2.6 Mg/m³
**Total moment**: 0.7500 μB/atom
**Space-group type**: I-42d

```
8
Lattice="-2.645 2.645 4.164 2.645 -2.645 4.164 2.645 2.645 -4.164" Properties=species:S:1:pos:R:3 pbc="T T T"
Si 0.000 0.000 0.000
Si 0.000 2.645 2.082
N 0.337 1.322 1.041
N -1.322 2.308 3.123
N -0.337 3.967 1.041
N 1.322 2.982 3.123
Cl 2.645 0.000 2.082
Cl 0.000 0.000 4.164
```

---

b) SiN2Cl | GGA-PBE | optimized geometry

Output
**ρ**: 2.3 Mg/m³
**Total moment**: 0.0000 μB/atom
**Space-group type**: R-3m

```
4
Lattice="1.874 1.082 5.550 -1.874 1.082 5.550 0.000 -2.163 5.550" Properties=species:S:1:pos:R:3 pbc="T T T"
Si 0.000 0.000 0.000
N 0.000 0.000 1.664
N 0.000 0.000 14.986
Cl 0.000 0.000 8.325
```

---

Order of stability, best first: a), b)

---

a) SiNCl3 | GGA-PBE | optimized geometry

Output
**ρ**: 2.8 Mg/m³
**Total moment**: 0.0000 μB/atom
**Space-group type**: Pm-3m

```
5
Lattice="4.452 0.000 0.000 0.000 4.452 0.000 0.000 0.000 4.452" Properties=species:S:1:pos:R:3 pbc="T T T"
Si 0.000 0.000 0.000
N 2.226 2.226 2.226
Cl 0.000 2.226 2.226
Cl 2.226 0.000 2.226
Cl 2.226 2.226 0.000
```

---

b) SiNCl3 | GGA-PBE | optimized geometry

Output
**ρ**: 2.3 Mg/m³
**Total moment**: 0.5945 μB/atom
**Space-group type**: Pm-3m

```
5
Lattice="4.756 0.000 0.000 0.000 4.756 0.000 0.000 0.000 4.756" Properties=species:S:1:pos:R:3 pbc="T T T"
Si 0.000 0.000 0.000
N 2.378 2.378 2.378
Cl 0.000 0.000 2.378
Cl 0.000 2.378 0.000
Cl 2.378 0.000 0.000
```

---

Order of stability, best first: b), a)

---

a) Si3NCl | GGA-PBE | optimized geometry

Output
**ρ**: 2.1 Mg/m³
**Total moment**: 0.0001 μB/atom
**Space-group type**: Pm-3m

```
5
Lattice="4.721 0.000 0.000 0.000 4.721 0.000 0.000 0.000 4.721" Properties=species:S:1:pos:R:3 pbc="T T T"
Si 0.000 0.000 2.360
Si 0.000 2.360 0.000
Si 2.360 0.000 0.000
N 2.360 2.360 2.360
Cl 0.000 0.000 0.000
```

---

b) Si3NCl | GGA-PBE | optimized geometry

Output
**ρ**: 2.7 Mg/m³
**Total moment**: 0.0000 μB/atom
**Space-group type**: Pm-3m

```
5
Lattice="4.345 0.000 0.000 0.000 4.345 0.000 0.000 0.000 4.345" Properties=species:S:1:pos:R:3 pbc="T T T"
Si 0.000 0.000 2.172
Si 0.000 2.172 0.000
Si 2.172 0.000 0.000
N 0.000 0.000 0.000
Cl 2.172 2.172 2.172
```

---

Order of stability, best first: b), a)

---

a) SnNCl3 | GGA-PBE | optimized geometry

Output
**ρ**: 2.8 Mg/m³
**Total moment**: 0.6000 μB/atom
**Space-group type**: Pm-3m

```
5
Lattice="5.226 0.000 0.000 0.000 5.226 0.000 0.000 0.000 5.226" Properties=species:S:1:pos:R:3 pbc="T T T"
Sn 0.000 0.000 0.000
N 2.613 2.613 2.613
Cl 0.000 0.000 2.613
Cl 0.000 2.613 0.000
Cl 2.613 0.000 0.000
```

---

b) SnNCl3 | GGA-PBE | optimized geometry

Output
**ρ**: 4.1 Mg/m³
**Total moment**: 0.0000 μB/atom
**Space-group type**: Pm-3m

```
5
Lattice="4.586 0.000 0.000 0.000 4.586 0.000 0.000 0.000 4.586" Properties=species:S:1:pos:R:3 pbc="T T T"
Sn 0.000 0.000 0.000
N 2.293 2.293 2.293
Cl 0.000 2.293 2.293
Cl 2.293 0.000 2.293
Cl 2.293 2.293 0.000
```

---

Order of stability, best first: a), b)